[1]
A plane-wave DFT calculation with PBE was carried out for a geometry-optimized AcSm4Sc structure.

The space group is P4/mmm (No. 123) and the conventional cell measures 5.090, 5.090 and 9.408 Å, with angles of 90.00, 90.00 and 90.00 degrees. The inequivalent atoms are Ac at (0.000, 0.000, 0.000), Sm at (0.000, 0.500, 0.301) and Sc at (0.500, 0.500, 0.500).

As for the total DFT energy (no corrections): -26.225 eV per cell. The total magnetization comes out at 0.00 Bohr magnetons per cell. Its crystal system is tetragonal. For the formation energy, the calculation gives 0.515 eV per atom.


[2]
A plane-wave DFT calculation with PBE was carried out for a geometry-optimized Mn3H12Pd5 structure.

The space group is Ia-3d (No. 230) and the conventional cell measures 10.869, 10.869 and 10.869 Å, with angles of 90.00, 90.00 and 90.00 degrees. The inequivalent atoms are Mn at (0.000, 0.250, 0.125), H at (0.008, 0.066, 0.658), Pd at (0.000, 0.000, 0.000) and Pd at (0.000, 0.250, 0.375).

As for the total DFT energy (no corrections): -744.490 eV per cell. The total magnetization comes out at 78.72 Bohr magnetons per cell. Its crystal system is cubic.


[3]
A plane-wave DFT calculation with PBE was carried out for a geometry-optimized CeY2ScSe4 structure.

The space group is P2/m (No. 10) and the conventional cell measures 7.046, 4.045 and 7.083 Å, with angles of 90.00, 109.10 and 90.00 degrees. The inequivalent atoms are Ce at (0.000, 0.000, 0.000), Y at (0.500, 0.000, 0.500), Y at (0.500, 0.500, 0.000), Sc at (0.000, 0.500, 0.500), Se at (0.242, 0.000, 0.737) and Se at (0.251, 0.500, 0.262).

As for the total DFT energy (no corrections): -52.888 eV per cell. The total magnetization comes out at 0.99 Bohr magnetons per cell. For the formation energy (no corrections), the calculation gives -1720 meV/atom. Its crystal system is monoclinic.


[4]
A plane-wave DFT calculation with PBE was carried out for a geometry-optimized ErAg2AsS4 structure.

The space group is P2/m (No. 10) and the conventional cell measures 6.703, 3.874 and 6.721 Å, with angles of 90.00, 110.97 and 90.00 degrees. The inequivalent atoms are Er at (0.000, 0.000, 0.000), Ag at (0.500, 0.000, 0.500), Ag at (0.500, 0.500, 0.000), As at (0.000, 0.500, 0.500), S at (0.232, 0.500, 0.261) and S at (0.234, 0.000, 0.741).

As for the total DFT energy (no corrections): -36.536 eV per cell. The total magnetization comes out at 0.00 Bohr magnetons per cell. For the formation energy (no corrections), the calculation gives -639 meV/atom. Its crystal system is monoclinic.


[5]
A plane-wave DFT calculation with PBE was carried out for a geometry-optimized LaSm2Y2 structure.

The space group is Cmc2_1 (No. 36) and the conventional cell measures 5.591, 17.102 and 7.131 Å, with angles of 90.00, 90.00 and 90.00 degrees. The inequivalent atoms are La at (0.000, 0.107, 0.000), Sm at (0.000, 0.112, 0.502), Sm at (0.000, 0.301, 0.752), Y at (0.000, 0.301, 0.252) and Y at (0.000, 0.500, 0.251).

As for the total DFT energy (no corrections): -108.111 eV per cell. The total magnetization comes out at 0.00 Bohr magnetons per cell. Its crystal system is orthorhombic. For the formation energy, the calculation gives 0.053 eV per atom.


[6]
A plane-wave DFT calculation with PBE was carried out for a geometry-optimized FeSnTe2Mo structure.

The space group is P4/mmm (No. 123) and the conventional cell measures 5.098, 5.098 and 4.521 Å, with angles of 90.00, 90.00 and 90.00 degrees. The inequivalent atoms are Fe at (0.000, 0.000, 0.000), Sn at (0.500, 0.500, 0.500), Te at (0.000, 0.500, 0.000) and Mo at (0.000, 0.000, 0.500).

As for the total DFT energy (no corrections): -25.714 eV per cell. The total magnetization comes out at 2.61 Bohr magnetons per cell. For the formation energy (no corrections), the calculation gives 773 meV/atom. Its crystal system is tetragonal.


[7]
A plane-wave DFT calculation with PBE was carried out for a geometry-optimized CrNi3 structure.

The space group is Pmmn (No. 59, origin choice 2) and the conventional cell measures 4.086, 4.944 and 4.334 Å, with angles of 90.00, 90.00 and 90.00 degrees. The inequivalent atoms are Cr at (0.250, 0.250, 0.159), Ni at (0.250, 0.000, 0.664) and Ni at (0.250, 0.750, 0.159).

As for the total DFT energy (no corrections): -53.988 eV per cell. The total magnetization comes out at 0.75 Bohr magnetons per cell. Its crystal system is orthorhombic. For the formation energy, the calculation gives -0.007 eV per atom.


[8]
A plane-wave DFT calculation with PBE was carried out for a geometry-optimized Cs4Ac3HfS8 structure.

The space group is R-3m (No. 166, hexagonal axes) and the conventional cell measures 8.6136, 8.6136 and 24.3688 Å, with angles of 90.00, 90.00 and 120.00 degrees. The inequivalent atoms are Cs at (0.0000, 0.0000, 0.0000), Cs at (0.0000, 0.5000, 0.0000), Ac at (0.0000, 0.5000, 0.5000), Hf at (0.0000, 0.0000, 0.5000), S at (0.0000, 0.0000, 0.2338) and S at (0.0376, 0.5188, 0.2272).

As for the total DFT energy (no corrections): -257.746 eV per cell. The total magnetization comes out at 0.00 Bohr magnetons per cell. For the formation energy (no corrections), the calculation gives -1700 meV/atom. Its crystal system is trigonal.